1.
VASP calculation (SCAN) on Li6Ni3P6WO24 at its PBEsol-relaxed geometry.

Cell and atoms, written as extended XYZ:
```
40
Lattice="8.3485 0.0000 0.0000 -4.1740 7.2350 0.0000 -4.0698 -2.4226 7.5035" Properties=species:S:1:pos:R:3 pbc="T T T"
Li 0.0000 0.0000 0.0000
Li -5.2243 4.9489 3.5241
Li -2.9876 0.0976 5.8082
Li -4.0837 2.7133 5.5729
Li -1.4362 2.1821 3.5927
Li 2.6479 0.3353 3.5910
Ni 0.0049 4.8591 0.4957
Ni 0.0661 0.0343 4.3093
Ni 0.0413 4.8530 4.9652
P -1.1244 -2.0916 6.4853
P -2.3092 4.8448 2.7800
P -1.1562 2.2178 6.4847
P 1.2319 2.8573 2.7231
P 5.3824 -0.2653 2.7933
P 2.5931 0.0657 6.4410
W 4.2317 2.5072 1.3370
O -1.4763 -0.4926 3.0450
O -3.6582 3.9321 2.6010
O -4.5566 1.0255 6.5180
O -2.6074 -1.6689 6.4268
O -5.1272 3.6739 6.7529
O -1.6466 4.7695 1.4464
O -0.3428 -1.6862 5.2357
O 1.3697 -0.9824 3.1032
O -1.2906 1.1623 5.3508
O 0.3338 1.7161 3.1859
O -1.5490 4.1259 3.9208
O 0.8539 3.3390 1.3494
O -2.5450 2.7745 6.7176
O 3.5542 1.1553 0.2254
O 0.6834 6.3180 1.5661
O 3.3714 3.8240 0.2923
O 2.7161 2.1916 2.5365
O 1.7090 0.5218 5.2910
O -0.0859 3.2807 6.2864
O 1.4587 3.9684 3.7751
O 3.0540 -1.3923 6.4054
O 4.4958 -0.4925 4.0605
O 5.7850 2.6148 0.2813
O 5.2374 1.3405 2.5516
```

Output
The space group is P1. The formation energy without anion corrections comes out at -2294 meV/atom.


2.
VASP calculation (SCAN) on La2ScP2 at its PBEsol-relaxed geometry.

Cell and atoms, written as extended XYZ:
```
10
Lattice="7.5535 0.0000 0.0000 0.0000 7.5535 0.0000 0.0000 0.0000 4.0714" Properties=species:S:1:pos:R:3 pbc="T T T"
La 1.1224 2.6543 0.0000
La 2.6543 6.4310 0.0000
La 4.8992 1.1224 0.0000
La 6.4310 4.8992 0.0000
Sc 0.0000 0.0000 2.0357
Sc 3.7767 3.7767 2.0357
P 1.2209 4.9976 2.0357
P 2.5559 1.2209 2.0357
P 4.9976 6.3326 2.0357
P 6.3326 2.5559 2.0357
```

Output
The space group is P4/mbm. Its density of states at the Fermi level is 8.5 states/eV/cell. As for the energy above the most stable polymorph in this dataset: 0.000 eV/atom. The calculation puts the formation energy at -1.365 eV per atom.


3.
VASP calculation (SCAN) on ZnCoIr2 at its PBEsol-relaxed geometry.

Cell and atoms, written as extended XYZ:
```
8
Lattice="3.7025 0.0000 0.0000 0.0000 3.7025 0.0000 0.0000 0.0000 7.4741" Properties=species:S:1:pos:R:3 pbc="T T T"
Zn 0.0000 0.0000 0.0000
Zn 1.8512 1.8512 3.7370
Co 0.0000 1.8512 1.8685
Co 1.8512 0.0000 5.6055
Ir 0.0000 0.0000 3.7370
Ir 0.0000 1.8512 5.6055
Ir 1.8512 0.0000 1.8685
Ir 1.8512 1.8512 0.0000
```

Output
The space group is I-4m2. Its density of states at the Fermi level is 5.5 states/eV/cell. The calculation puts the formation energy at 0.012 eV per atom.


4.
VASP calculation (SCAN) on Cd3FeMo at its PBEsol-relaxed geometry.

Cell and atoms, written as extended XYZ:
```
5
Lattice="4.7617 0.0000 0.0000 0.0000 4.7617 0.0000 0.0000 0.0000 4.7617" Properties=species:S:1:pos:R:3 pbc="T T T"
Cd 0.0000 0.0000 2.3809
Cd 0.0000 2.3809 0.0000
Cd 2.3809 0.0000 0.0000
Fe 0.0000 0.0000 0.0000
Mo 2.3809 2.3809 2.3809
```

Output
The space group is Pm-3m. Its density of states at the Fermi level is 2.5 states/eV/cell. The calculation puts the formation energy at 1.132 eV per atom.


5.
VASP calculation (SCAN) on Li2MgAs at its PBEsol-relaxed geometry.

Cell and atoms, written as extended XYZ:
```
4
Lattice="3.9608 0.0000 0.0000 0.0000 3.9608 0.0000 0.0000 0.0000 4.1304" Properties=species:S:1:pos:R:3 pbc="T T T"
Li 0.0000 1.9804 0.0000
Li 1.9804 0.0000 0.0000
Mg 0.0000 0.0000 2.0652
As 1.9804 1.9804 2.0652
```

Output
The space group is P4/mmm. Its density of states at the Fermi level is 0.6 states/eV/cell. As for the energy above the most stable polymorph in this dataset: 0.000 eV/atom. The calculation puts the formation energy at -0.523 eV per atom.


6.
VASP calculation (SCAN) on ZrZnPt at its PBEsol-relaxed geometry.

Cell and atoms, written as extended XYZ:
```
3
Lattice="4.4377 0.0000 0.0000 -2.2189 3.8432 0.0000 0.0000 0.0000 2.8695" Properties=species:S:1:pos:R:3 pbc="T T T"
Zr 0.0000 0.0000 0.0000
Zn 0.0000 2.5621 1.4348
Pt 2.2189 1.2811 1.4348
```

Output
The space group is P-6m2. Its density of states at the Fermi level is 1.9 states/eV/cell. The calculation puts the formation energy at -0.918 eV per atom.


7.
VASP calculation (SCAN) on Y2ReSe at its PBEsol-relaxed geometry.

Cell and atoms, written as extended XYZ:
```
12
Lattice="4.4192 0.0000 0.0000 -2.2096 3.8271 0.0000 0.0000 0.0000 15.5512" Properties=species:S:1:pos:R:3 pbc="T T T"
Y 0.0000 0.0000 0.0000
Y 0.0000 0.0000 3.0873
Y 0.0000 2.5514 10.3675
Y 0.0000 2.5514 13.4548
Y 2.2096 1.2757 5.1837
Y 2.2096 1.2757 8.2711
Re 0.0000 0.0000 12.0303
Re 0.0000 2.5514 6.8465
Re 2.2096 1.2757 1.6628
Se 0.0000 0.0000 6.5537
Se 0.0000 2.5514 1.3700
Se 2.2096 1.2757 11.7375
```

Output
The space group is R3m. Its density of states at the Fermi level is 11.5 states/eV/cell. The formation energy without anion corrections comes out at -195 meV/atom.


8.
VASP calculation (SCAN) on MgInW at its PBEsol-relaxed geometry.

Cell and atoms, written as extended XYZ:
```
12
Lattice="6.4868 0.0000 0.0000 0.0000 6.4868 0.0000 0.0000 0.0000 6.4868" Properties=species:S:1:pos:R:3 pbc="T T T"
Mg 0.0000 0.0000 0.0000
Mg 0.0000 3.2434 3.2434
Mg 3.2434 0.0000 3.2434
Mg 3.2434 3.2434 0.0000
In 0.0000 0.0000 3.2434
In 0.0000 3.2434 0.0000
In 3.2434 0.0000 0.0000
In 3.2434 3.2434 3.2434
W 1.6217 1.6217 4.8651
W 1.6217 4.8651 1.6217
W 4.8651 1.6217 1.6217
W 4.8651 4.8651 4.8651
```

Output
The space group is F-43m. Its density of states at the Fermi level is 13.1 states/eV/cell. The calculation puts the formation energy at 1.153 eV per atom.